# 1
VASP calculation (PBE) on K2ScHg after structural relaxation.

- E above lowest polymorph (kJ per mole of atoms) = 27.0
- formation enthalpy at 0 K (eV/atom) = 0.308

a b c (Å): 3.558 3.558 11.706
angles (deg): 90.00 90.00 90.00
Element x y z (fractional)
K1 0.000 0.000 0.225
K2 0.000 0.000 0.775
Sc1 0.500 0.500 0.500
Hg1 0.500 0.500 0.000



# 2
VASP calculation (PBE) on DyErIn after structural relaxation.

- E above lowest polymorph (kJ per mole of atoms) = 6.4
- formation enthalpy at 0 K (eV/atom) = -0.248

a b c (Å): 4.589 4.589 8.303
angles (deg): 90.00 90.00 90.00
Element x y z (fractional)
Dy1 0.250 0.750 0.000
Dy2 0.750 0.250 0.000
Er1 0.250 0.250 0.353
Er2 0.750 0.750 0.647
In1 0.250 0.250 0.727
In2 0.750 0.750 0.273



# 3
VASP calculation (PBE) on In3Fe after structural relaxation.

- formation enthalpy at 0 K (eV/atom) = 0.374

a b c (Å): 5.390 5.390 3.237
angles (deg): 90.00 90.00 113.03
Element x y z (fractional)
In1 0.000 0.000 0.000
In2 0.000 0.500 0.500
In3 0.500 0.000 0.500
Fe1 0.500 0.500 0.000



# 4
VASP calculation (PBE) on Ca4Zn3Cu2 after structural relaxation.

- formation enthalpy at 0 K (eV/atom) = -0.173

a b c (Å): 8.103 8.103 7.104
angles (deg): 107.92 107.92 29.12
Element x y z (fractional)
Ca1 0.075 0.075 0.371
Ca2 0.268 0.268 0.807
Ca3 0.732 0.732 0.193
Ca4 0.925 0.925 0.629
Zn1 0.403 0.403 0.262
Zn2 0.500 0.500 0.000
Zn3 0.597 0.597 0.738
Cu1 0.094 0.094 0.954
Cu2 0.906 0.906 0.046



# 5
VASP calculation (PBE) on LuBiAu2 after structural relaxation.

- formation enthalpy at 0 K (eV/atom) = -0.468

a b c (Å): 4.544 4.544 4.364
angles (deg): 90.00 90.00 90.00
Element x y z (fractional)
Lu1 0.000 0.000 0.000
Bi1 0.500 0.500 0.000
Au1 0.000 0.500 0.500
Au2 0.500 0.000 0.500



# 6
VASP calculation (PBE) on Dy3TmSc3 after structural relaxation.

- E above lowest polymorph (kJ per mole of atoms) = 3.7
- formation enthalpy at 0 K (eV/atom) = 0.193

a b c (Å): 8.416 8.416 8.416
angles (deg): 58.94 58.94 58.94
Element x y z (fractional)
Dy1 0.067 0.220 0.567
Dy2 0.220 0.567 0.067
Dy3 0.433 0.933 0.780
Dy4 0.567 0.067 0.220
Dy5 0.780 0.433 0.933
Dy6 0.933 0.780 0.433
Tm1 0.153 0.153 0.153
Tm2 0.847 0.847 0.847
Sc1 0.222 0.438 0.671
Sc2 0.329 0.778 0.562
Sc3 0.438 0.671 0.222
Sc4 0.562 0.329 0.778
Sc5 0.671 0.222 0.438
Sc6 0.778 0.562 0.329



# 7
VASP calculation (PBE) on SrDy4Se5 after structural relaxation.

- energy relative to the elements, uncorrected (eV/atom) = -1.79

a b c (Å): 7.199 7.199 10.144
angles (deg): 118.19 118.19 33.23
Element x y z (fractional)
Sr1 0.000 0.000 0.000
Dy1 0.197 0.197 0.784
Dy2 0.406 0.406 0.597
Dy3 0.594 0.594 0.403
Dy4 0.803 0.803 0.216
Se1 0.000 0.000 0.500
Se2 0.201 0.201 0.311
Se3 0.389 0.389 0.102
Se4 0.611 0.611 0.898
Se5 0.799 0.799 0.689



# 8
VASP calculation (PBE) on Na2H6Os after structural relaxation.

- E above lowest polymorph (kJ per mole of atoms) = 0.0

a b c (Å): 5.217 5.217 5.217
angles (deg): 60.00 60.00 60.00
Element x y z (fractional)
Na1 0.250 0.250 0.250
Na2 0.750 0.750 0.750
H1 0.234 0.234 0.766
H2 0.234 0.766 0.234
H3 0.234 0.766 0.766
H4 0.766 0.234 0.234
H5 0.766 0.234 0.766
H6 0.766 0.766 0.234
Os1 0.000 0.000 0.000



# 9
VASP calculation (PBE) on Mg2PtCl after structural relaxation.

- energy relative to the elements, uncorrected (eV/atom) = -0.70
- E above lowest polymorph (kJ per mole of atoms) = 28.7

a b c (Å): 3.822 3.822 5.496
angles (deg): 90.00 90.00 90.00
Element x y z (fractional)
Mg1 0.000 0.000 0.000
Mg2 0.500 0.500 0.498
Pt1 0.000 0.000 0.500
Cl1 0.500 0.500 0.000



# 10
VASP calculation (PBE) on Co3HN after structural relaxation.

- E above lowest polymorph (kJ per mole of atoms) = 0.0

a b c (Å): 3.657 3.657 3.657
angles (deg): 90.00 90.00 90.00
Element x y z (fractional)
Co1 0.000 0.000 0.500
Co2 0.000 0.500 0.000
Co3 0.500 0.000 0.000
H1 0.500 0.500 0.500
N1 0.000 0.000 0.000



# 11
VASP calculation (PBE) on SrP2Se after structural relaxation.

- energy relative to the elements, uncorrected (eV/atom) = -0.06

a b c (Å): 6.469 6.469 6.469
angles (deg): 110.30 110.30 107.83
Element x y z (fractional)
Sr1 0.000 0.000 0.000
Sr2 0.750 0.250 0.500
P1 0.193 0.125 0.568
P2 0.375 0.807 0.932
P3 0.557 0.625 0.432
P4 0.875 0.443 0.068
Se1 0.250 0.750 0.500
Se2 0.500 0.500 0.000



# 12
VASP calculation (PBE) on Al3SbPd12 after structural relaxation.

- energy relative to the elements, uncorrected (eV/atom) = -0.56

a b c (Å): 3.949 3.949 15.747
angles (deg): 90.00 90.00 90.00
Element x y z (fractional)
Al1 0.000 0.000 0.000
Al2 0.000 0.000 0.241
Al3 0.000 0.000 0.759
Sb1 0.000 0.000 0.500
Pd1 0.000 0.500 0.122
Pd2 0.000 0.500 0.368
Pd3 0.000 0.500 0.632
Pd4 0.000 0.500 0.878
Pd5 0.500 0.000 0.122
Pd6 0.500 0.000 0.368
Pd7 0.500 0.000 0.632
Pd8 0.500 0.000 0.878
Pd9 0.500 0.500 0.000
Pd10 0.500 0.500 0.246
Pd11 0.500 0.500 0.500
Pd12 0.500 0.500 0.754



# 13
VASP calculation (PBE) on La5TbEr2Tm after structural relaxation.

- formation enthalpy at 0 K (eV/atom) = 0.129

a b c (Å): 11.167 11.167 10.637
angles (deg): 90.00 90.00 151.51
Element x y z (fractional)
La1 0.000 0.000 0.000
La2 0.000 0.000 0.500
La3 0.124 0.876 0.750
La4 0.220 0.780 0.059
La5 0.220 0.780 0.439
La6 0.497 0.503 0.750
La7 0.503 0.497 0.250
La8 0.780 0.220 0.559
La9 0.780 0.220 0.939
La10 0.876 0.124 0.250
Tb1 0.291 0.709 0.749
Tb2 0.709 0.291 0.249
Er1 0.387 0.613 0.002
Er2 0.387 0.613 0.498
Er3 0.613 0.387 0.502
Er4 0.613 0.387 0.998
Tm1 0.100 0.900 0.250
Tm2 0.900 0.100 0.750



# 14
VASP calculation (PBE) on Sm5DyYSc2 after structural relaxation.

- formation enthalpy at 0 K (eV/atom) = 0.168

a b c (Å): 11.233 11.233 9.420
angles (deg): 90.00 90.00 150.81
Element x y z (fractional)
Sm1 0.011 0.989 0.500
Sm2 0.266 0.734 0.819
Sm3 0.304 0.696 0.208
Sm4 0.392 0.608 0.536
Sm5 0.467 0.533 0.238
Sm6 0.533 0.467 0.738
Sm7 0.608 0.392 0.036
Sm8 0.696 0.304 0.708
Sm9 0.734 0.266 0.319
Sm10 0.989 0.011 0.000
Dy1 0.184 0.816 0.508
Dy2 0.816 0.184 0.008
Y1 0.401 0.599 0.909
Y2 0.599 0.401 0.409
Sc1 0.114 0.886 0.816
Sc2 0.135 0.865 0.193
Sc3 0.865 0.135 0.693
Sc4 0.886 0.114 0.316



# 15
VASP calculation (PBE) on ScCd2Br after structural relaxation.

- energy relative to the elements, uncorrected (eV/atom) = -0.11
- E above lowest polymorph (kJ per mole of atoms) = 32.5

a b c (Å): 5.094 5.094 5.094
angles (deg): 60.00 60.00 60.00
Element x y z (fractional)
Sc1 0.000 0.000 0.000
Cd1 0.250 0.250 0.250
Cd2 0.500 0.500 0.500
Br1 0.750 0.750 0.750



# 16
VASP calculation (PBE) on TlCd2Ga after structural relaxation.

- E above lowest polymorph (kJ per mole of atoms) = 0.1
- formation enthalpy at 0 K (eV/atom) = 0.073

a b c (Å): 3.334 3.334 10.059
angles (deg): 90.11 90.11 60.03
Element x y z (fractional)
Tl1 0.000 0.000 0.000
Cd1 0.333 0.333 0.271
Cd2 0.667 0.667 0.729
Ga1 0.000 0.000 0.500



# 17
VASP calculation (PBE) on BePdSe after structural relaxation.

- energy relative to the elements, uncorrected (eV/atom) = -0.32

a b c (Å): 3.695 3.696 9.259
angles (deg): 87.88 80.13 61.05
Element x y z (fractional)
Be1 0.000 0.000 0.000
Be2 0.191 0.490 0.458
Pd1 0.373 0.479 0.163
Pd2 0.606 0.829 0.343
Se1 0.703 0.657 0.929
Se2 0.806 0.161 0.541



# 18
VASP calculation (PBE) on Mg14MnB after structural relaxation.

- E above lowest polymorph (kJ per mole of atoms) = 0.0
- formation enthalpy at 0 K (eV/atom) = 0.208

a b c (Å): 9.865 6.211 6.211
angles (deg): 60.88 90.00 90.00
Element x y z (fractional)
Mg1 0.000 0.000 0.000
Mg2 0.000 0.494 0.993
Mg3 0.000 0.497 0.497
Mg4 0.000 0.993 0.494
Mg5 0.251 0.831 0.831
Mg6 0.254 0.326 0.326
Mg7 0.287 0.331 0.811
Mg8 0.287 0.811 0.331
Mg9 0.500 0.030 0.519
Mg10 0.500 0.519 0.030
Mg11 0.713 0.331 0.811
Mg12 0.713 0.811 0.331
Mg13 0.746 0.326 0.326
Mg14 0.749 0.831 0.831
Mn1 0.500 0.996 0.996
B1 0.500 0.469 0.469



# 19
VASP calculation (PBE) on PmLuBeAg after structural relaxation.

- formation enthalpy at 0 K (eV/atom) = -0.041

a b c (Å): 5.032 5.032 5.032
angles (deg): 60.00 60.00 60.00
Element x y z (fractional)
Pm1 0.000 0.000 0.000
Lu1 0.500 0.500 0.500
Be1 0.250 0.250 0.250
Ag1 0.750 0.750 0.750



# 20
VASP calculation (PBE) on Rb2HgWI6 after structural relaxation.

- energy relative to the elements, uncorrected (eV/atom) = -0.55

a b c (Å): 8.739 8.739 8.739
angles (deg): 60.00 60.00 60.00
Element x y z (fractional)
Rb1 0.250 0.250 0.250
Rb2 0.750 0.750 0.750
Hg1 0.000 0.000 0.000
W1 0.500 0.500 0.500
I1 0.275 0.275 0.725
I2 0.275 0.725 0.275
I3 0.275 0.725 0.725
I4 0.725 0.275 0.275
I5 0.725 0.275 0.725
I6 0.725 0.725 0.275



# 21
VASP calculation (PBE) on Sm2Er5Tm3 after structural relaxation.

- E above lowest polymorph (kJ per mole of atoms) = 0.0
- formation enthalpy at 0 K (eV/atom) = 0.217

a b c (Å): 8.955 8.955 9.585
angles (deg): 106.60 106.60 105.70
Element x y z (fractional)
Sm1 0.044 0.294 0.045
Sm2 0.294 0.044 0.545
Sm3 0.706 0.956 0.455
Sm4 0.956 0.706 0.955
Er1 0.036 0.964 0.750
Er2 0.082 0.324 0.681
Er3 0.253 0.747 0.750
Er4 0.324 0.082 0.181
Er5 0.500 0.500 0.250
Er6 0.500 0.500 0.750
Er7 0.676 0.918 0.819
Er8 0.747 0.253 0.250
Er9 0.918 0.676 0.319
Er10 0.964 0.036 0.250
Tm1 0.199 0.456 0.422
Tm2 0.273 0.727 0.250
Tm3 0.456 0.199 0.922
Tm4 0.544 0.801 0.078
Tm5 0.727 0.273 0.750
Tm6 0.801 0.544 0.578



# 22
VASP calculation (PBE) on InTc2Rh after structural relaxation.

- formation enthalpy at 0 K (eV/atom) = 0.424

a b c (Å): 4.724 4.724 2.863
angles (deg): 90.00 90.00 90.00
Element x y z (fractional)
In1 0.000 0.000 0.000
Tc1 0.000 0.500 0.500
Tc2 0.500 0.000 0.500
Rh1 0.500 0.500 0.000



# 23
VASP calculation (PBE) on Cs3Rb4S after structural relaxation.

- energy relative to the elements, uncorrected (eV/atom) = -0.29

a b c (Å): 9.174 15.222 9.194
angles (deg): 90.00 90.00 90.00
Element x y z (fractional)
Cs1 0.250 0.030 0.172
Cs2 0.250 0.470 0.172
Cs3 0.250 0.750 0.516
Cs4 0.750 0.250 0.484
Cs5 0.750 0.530 0.828
Cs6 0.750 0.970 0.828
Rb1 0.002 0.250 0.045
Rb2 0.250 0.116 0.592
Rb3 0.250 0.384 0.592
Rb4 0.498 0.250 0.045
Rb5 0.502 0.750 0.955
Rb6 0.750 0.616 0.408
Rb7 0.750 0.884 0.408
Rb8 0.998 0.750 0.955
S1 0.250 0.250 0.300
S2 0.750 0.750 0.700